No. 1
The following is a PBE-GGA calculation of a relaxed structure of TbGa6Cu6, from OQMD.

Crystal system   orthorhombic
DFT total energy   -3.760 eV per atom
Total moment   0.00 μB per atom

Cell lengths 5.1515, 8.5322, 8.7100 Å; angles 90.00, 90.00, 90.00 degrees
With the nearest neighbours (Å) after each atom.
Space group Immm (No. 71)
Asymmetric unit:
Tb: 0.0000 0.0000 0.0000 [2 per cell]  8 Ga 2.96-3.08, 12 Cu 3.25-3.31
Ga: 0.0000 0.0000 0.3481 [4 per cell]  6 Cu 2.63-2.64, 3 Ga 2.65-2.90
Ga: 0.0000 0.3468 0.0000 [4 per cell]  1 Ga 2.61, 6 Cu 2.66-2.75
Ga: 0.0000 0.5000 0.3057 [4 per cell]  6 Cu 2.54-2.61
Cu: 0.0000 0.2674 0.5000 [4 per cell]  4 Cu 2.53, 6 Ga 2.61-2.75
Cu: 0.2500 0.2500 0.2500 [8 per cell]  4 Cu 2.53-2.58, 6 Ga 2.54-2.66


No. 2
The following is a PBE-GGA calculation of a relaxed structure of Li4ZrGaO6, from OQMD.

Crystal system   monoclinic
DFT total energy   -6.209 eV per atom
Total moment   0.08 μB per atom

Cell lengths 5.1958, 9.0292, 5.1136 Å; angles 90.00, 109.41, 90.00 degrees
With the nearest neighbours (Å) after each atom.
Space group C2 (No. 5)
Asymmetric unit:
Li: 0.0000 0.0000 0.0000 [2 per cell]  6 O 2.04-2.22
Li: 0.0000 0.1510 0.5000 [2 per cell]  6 O 2.13-2.15
Li: 0.0000 0.3106 0.0000 [2 per cell]  6 O 2.11-2.16
Li: 0.0000 0.6353 0.0000 [2 per cell]  4 O 2.04-2.08
Zr: 0.0000 0.8164 0.5000 [2 per cell]  6 O 2.10-2.11
Ga: 0.0000 0.4843 0.5000 [2 per cell]  6 O 2.00-2.03
O: 0.2348 0.6446 0.7411 [4 per cell]  1 Ga 2.03, 4 Li 2.04-2.16, 1 Zr 2.10
O: 0.2382 0.4816 0.2637 [4 per cell]  1 Ga 2.00, 4 Li 2.04-2.22, 1 Zr 2.11
O: 0.2417 0.3277 0.7406 [4 per cell]  1 Ga 2.02, 1 Zr 2.10, 3 Li 2.11-2.19


No. 3
The following is a PBE-GGA calculation of a relaxed structure of Hf2Si2O5, from OQMD.

Crystal system   tetragonal
Energy relative to the lowest polymorph listed for this composition   125.1 meV per atom
Total moment   0.00 μB per atom

Cell lengths 3.8447, 3.8447, 5.8343 Å; angles 90.00, 90.00, 90.00 degrees
With the nearest neighbours (Å) after each atom.
Space group P4/mmm (No. 123)
Asymmetric unit:
Hf: 0.0000 0.0000 0.0000 [1 per cell]  8 O 2.40
Hf: 0.0000 0.0000 0.5000 [1 per cell]  8 O 2.43
Si: 0.5000 0.5000 0.1983 [2 per cell]  5 O 1.76-1.94
O: 0.0000 0.5000 0.2464 [4 per cell]  2 Si 1.94
O: 0.5000 0.5000 0.5000 [1 per cell]  2 Si 1.76


No. 4
The following is a PBE-GGA calculation of a relaxed structure of SrNdNi2Ge4, from OQMD.

Crystal system   orthorhombic
DFT total energy   -5.142 eV per atom
Total moment   0.00 μB per atom

Cell lengths 4.2636, 4.3022, 17.0518 Å; angles 90.00, 90.00, 90.00 degrees
With the nearest neighbours (Å) after each atom.
Space group Amm2 (No. 38)
Asymmetric unit:
Sr: 0.0000 0.0000 0.0000 [2 per cell]  10 Ge 3.23-3.35, 5 Ni 3.29-3.61
Nd: 0.5000 0.0000 0.2156 [2 per cell]  10 Ge 3.22-3.35, 5 Ni 3.27-3.57
Ni: 0.0000 0.0000 0.7882 [2 per cell]  5 Ge 2.35-2.46
Ni: 0.5000 0.0000 0.4250 [2 per cell]  5 Ge 2.39-2.45
Ge: 0.0000 0.0000 0.3576 [2 per cell]  4 Ni 2.42-2.46
Ge: 0.0000 0.0000 0.6506 [2 per cell]  1 Ni 2.35, 2 Ge 2.58
Ge: 0.5000 0.0000 0.5653 [2 per cell]  1 Ni 2.39, 2 Ge 2.58
Ge: 0.5000 0.0000 0.8561 [2 per cell]  4 Ni 2.43-2.45


No. 5
The following is a PBE-GGA calculation of a relaxed structure of ErLu2In3Pt2Au, from OQMD.

Crystal system   orthorhombic
DFT total energy   -5.036 eV per atom
Total moment   0.00 μB per atom

Cell lengths 3.7189, 13.4487, 7.7407 Å; angles 90.00, 90.00, 90.00 degrees
With the nearest neighbours (Å) after each atom.
Space group Amm2 (No. 38)
Asymmetric unit:
Er: 0.0000 0.0000 0.0000 [2 per cell]  4 Pt 3.02, 6 In 3.11-3.34, 1 Au 3.15
Lu: 0.0000 0.2029 0.6083 [4 per cell]  4 Pt 2.99, 6 In 3.12-3.34, 1 Au 3.14
In: 0.5000 0.0000 0.6771 [2 per cell]  2 Au 2.80, 2 Pt 2.86, 2 Er 3.11
In: 0.5000 0.1360 0.2698 [4 per cell]  2 Au 2.81, 2 Pt 2.84-2.86, 2 Lu 3.12
Pt: 0.5000 0.1679 0.9049 [4 per cell]  3 In 2.84-2.86, 4 Lu 2.99, 2 Er 3.02
Au: 0.0000 0.0000 0.4065 [2 per cell]  6 In 2.80-2.81


No. 6
The following is a PBE-GGA calculation of a relaxed structure of Ba2ScPd, from OQMD.

Crystal system   cubic
DFT total energy   -3.645 eV per atom
Total moment   0.00 μB per atom

Cell lengths 7.8577, 7.8577, 7.8577 Å; angles 90.00, 90.00, 90.00 degrees
With the nearest neighbours (Å) after each atom.
Space group F-43m (No. 216)
Asymmetric unit:
Ba: 0.0000 0.0000 0.0000 [4 per cell]  4 Ba 3.40, 4 Sc 3.40
Ba: 0.2500 0.2500 0.2500 [4 per cell]  4 Ba 3.40, 4 Pd 3.40
Sc: 0.2500 0.2500 0.7500 [4 per cell]  4 Ba 3.40, 4 Pd 3.40
Pd: 0.0000 0.0000 0.5000 [4 per cell]  4 Ba 3.40, 4 Sc 3.40


No. 7
The following is a PBE-GGA calculation of a relaxed structure of CsB4Pd, from OQMD.

Crystal system   orthorhombic
Energy relative to the lowest polymorph listed for this composition   366.8 meV per atom

Cell lengths 2.8826, 5.7153, 9.9497 Å; angles 90.00, 90.00, 90.00 degrees
With the nearest neighbours (Å) after each atom.
Space group Immm (No. 71)
Asymmetric unit:
Cs: 0.0000 0.0000 0.0000 [2 per cell]  2 Cs 2.88, 12 B 3.09-3.12, 4 Pd 3.20
B: 0.0000 0.3530 0.2352 [8 per cell]  1 B 1.68
Pd: 0.0000 0.0000 0.5000 [2 per cell]  8 B 2.87, 2 Pd 2.88, 4 Cs 3.20


No. 8
The following is a PBE-GGA calculation of a relaxed structure of PrSmAg2, from OQMD.

Energy of formation from the pure elements   -24.9 kJ/mol of atoms
Crystal system   orthorhombic
Total moment   0.01 μB per atom

Cell lengths 4.8639, 3.8670, 11.2695 Å; angles 90.00, 90.00, 90.00 degrees
With the nearest neighbours (Å) after each atom.
Space group Amm2 (No. 38)
Asymmetric unit:
Pr: 0.0000 0.0000 0.0000 [2 per cell]  7 Ag 3.13-3.21
Sm: 0.5000 0.0000 0.7118 [2 per cell]  7 Ag 3.13-3.19
Ag: 0.0000 0.0000 0.2779 [2 per cell]  2 Ag 2.98, 3 Pr 3.13-3.16, 4 Sm 3.19
Ag: 0.5000 0.0000 0.4301 [2 per cell]  2 Ag 2.98, 3 Sm 3.13-3.17, 4 Pr 3.21


No. 9
The following is a PBE-GGA calculation of a relaxed structure of Ho2SiSO4, from OQMD.

Crystal system   orthorhombic
DFT total energy   -7.860 eV per atom
Total moment   0.00 μB per atom

Cell lengths 6.0371, 6.8770, 10.5920 Å; angles 90.00, 90.00, 90.00 degrees
With the nearest neighbours (Å) after each atom.
Space group Pbcm (No. 57)
Asymmetric unit:
Ho: 0.1134 0.2500 0.0000 [4 per cell]  6 O 2.28-2.44
Ho: 0.3457 0.5280 0.2500 [4 per cell]  6 O 2.37-2.48
Si: 0.3812 0.7500 0.0000 [4 per cell]  4 O 1.64
S: 0.0362 0.6732 0.7500 [4 per cell]  4 Ho 2.69-2.85
O: 0.2167 0.5658 0.0293 [8 per cell]  1 Si 1.64
O: 0.4554 0.2394 0.6234 [8 per cell]  1 Si 1.64


No. 10
The following is a PBE-GGA calculation of a relaxed structure of BaMg2ZnHg, from OQMD.

Crystal system   tetragonal
DFT total energy   -1.581 eV per atom

Cell lengths 4.6484, 4.6484, 12.7847 Å; angles 90.00, 90.00, 90.00 degrees
With the nearest neighbours (Å) after each atom.
Space group I4mm (No. 107)
Asymmetric unit:
Ba: 0.0000 0.0000 0.0000 [2 per cell]  4 Zn 3.59, 4 Hg 3.60, 4 Mg 3.88
Mg: 0.0000 0.5000 0.2426 [4 per cell]  2 Zn 2.86, 2 Hg 2.96
Zn: 0.0000 0.0000 0.6126 [2 per cell]  4 Mg 2.86, 1 Hg 2.90
Hg: 0.0000 0.0000 0.3855 [2 per cell]  1 Zn 2.90, 4 Mg 2.96


No. 11
The following is a PBE-GGA calculation of a relaxed structure of SmCdInO3, from OQMD.

Crystal system   orthorhombic
DFT total energy   -5.791 eV per atom
Total moment   0.00 μB per atom

Cell lengths 3.5660, 14.2191, 8.3554 Å; angles 90.00, 90.00, 90.00 degrees
With the nearest neighbours (Å) after each atom.
Space group Cmcm (No. 63)
Asymmetric unit:
Sm: 0.0000 0.0000 0.0000 [4 per cell]  6 O 2.29-2.33
Cd: 0.0000 0.3158 0.2500 [4 per cell]  2 O 2.17
In: 0.0000 0.3428 0.7500 [4 per cell]  4 O 2.20-2.44
O: 0.0000 0.0668 0.2500 [4 per cell]  2 In 2.20, 2 Sm 2.29
O: 0.0000 0.3954 0.0282 [8 per cell]  1 Cd 2.17, 2 Sm 2.33


No. 12
The following is a PBE-GGA calculation of a relaxed structure of ZrSc2Al3FeCu2, from OQMD.

Crystal system   orthorhombic
DFT total energy   -5.754 eV per atom
Total moment   0.01 μB per atom

Cell lengths 3.9905, 11.4610, 6.5151 Å; angles 90.00, 90.00, 90.00 degrees
With the nearest neighbours (Å) after each atom.
Space group Amm2 (No. 38)
Asymmetric unit:
Zr: 0.0000 0.0000 0.0000 [2 per cell]  1 Fe 2.60, 4 Cu 2.84
Sc: 0.0000 0.2038 0.6053 [4 per cell]  1 Fe 2.69, 4 Cu 2.81-2.82
Al: 0.5000 0.0000 0.6414 [2 per cell]  2 Fe 2.54, 2 Cu 2.56, 2 Al 2.70
Al: 0.5000 0.1194 0.2846 [4 per cell]  2 Fe 2.53, 2 Cu 2.55-2.57, 2 Al 2.70-2.74
Fe: 0.0000 0.0000 0.3994 [2 per cell]  6 Al 2.53-2.54, 1 Zr 2.60, 2 Sc 2.69
Cu: 0.5000 0.1668 0.9025 [4 per cell]  3 Al 2.55-2.57, 4 Sc 2.81-2.82, 2 Zr 2.84